(1)
Density functional theory data (PBE) for a relaxed Pr2YTl crystal.

```
Pr2YTl
1.0
5.635 0.000 0.000
2.817 4.880 0.000
2.817 1.627 4.601
Y Pr Tl
1 2 1
direct
0.500 0.500 0.500
0.750 0.750 0.750
0.250 0.250 0.250
0.000 0.000 0.000
```

Properties
**Magnetic moment**: 0.296 μB per atom
**Symmetry**: Fm-3m
**VASP energy**: -4.660 eV/atom
**Offset from the most stable computed form**: 142.8 meV per atom


(2)
Density functional theory data (PBE) for a relaxed Pr4Y5Tl crystal.

```
Pr4Y5Tl
1.0
-5.320 1.188 2.231
-5.207 -6.231 -1.324
-0.567 -2.574 7.794
Y Pr Tl
5 4 1
direct
0.654 0.000 0.000
0.775 0.368 0.000
0.143 0.632 0.000
0.775 0.000 0.368
0.142 0.000 0.632
0.148 0.315 0.315
0.462 0.315 0.685
0.777 0.685 0.685
0.462 0.685 0.315
0.173 0.000 0.000
```

Properties
**Magnetic moment**: 0.000 μB per atom
**Symmetry**: I4mm
**VASP energy**: -5.301 eV/atom
**Offset from the most stable computed form**: 148.4 meV per atom


(3)
Density functional theory data (PBE) for a relaxed Pr2YTl4 crystal.

```
Pr2YTl4
1.0
-4.385 1.571 -2.636
0.153 -4.479 -2.925
-2.274 -2.087 7.972
Pr Tl Y
2 4 1
direct
0.252 0.252 0.503
0.748 0.748 0.497
0.889 0.389 0.778
0.111 0.611 0.222
0.611 0.111 0.222
0.389 0.889 0.778
0.000 0.000 0.000
```

Properties
**Magnetic moment**: 0.000 μB per atom
**Symmetry**: I4/mmm
**VASP energy**: -3.891 eV/atom
**Offset from the most stable computed form**: 0.0 meV per atom


(4)
Density functional theory data (PBE) for a relaxed Pr2YTl3 crystal.

```
Pr2YTl3
1.0
-0.404 -3.743 0.803
1.325 0.621 3.560
-11.119 2.012 3.787
Pr Tl Y
2 3 1
direct
0.500 0.500 0.828
0.500 0.500 0.172
0.000 0.000 0.000
0.000 0.000 0.655
0.000 0.000 0.345
0.500 0.500 0.500
```

Properties
**Magnetic moment**: 0.000 μB per atom
**Symmetry**: P4/mmm
**VASP energy**: -4.249 eV/atom
**Offset from the most stable computed form**: 0.0 meV per atom


(5)
Density functional theory data (PBE) for a relaxed Pr5YTl6 crystal.

```
Pr5YTl6
1.0
5.261 -0.032 1.769
0.042 7.764 0.014
0.017 -0.016 8.799
Tl Pr Y
6 5 1
direct
0.837 0.245 0.327
0.837 0.755 0.327
0.500 0.246 0.000
0.163 0.245 0.673
0.163 0.755 0.673
0.500 0.754 0.000
0.000 0.500 0.000
0.670 0.500 0.660
0.666 0.000 0.668
0.334 0.000 0.332
0.330 0.500 0.340
0.000 0.000 0.000
```

Properties
**Magnetic moment**: 0.000 μB per atom
**Symmetry**: P2/m
**VASP energy**: -4.104 eV/atom


(6)
Density functional theory data (PBE) for a relaxed Pr6YTl2 crystal.

```
Pr6YTl2
1.0
-1.114 -2.026 -3.094
-3.342 -5.563 2.434
-11.818 2.970 -0.101
Tl Y Pr
2 1 6
direct
0.364 0.080 0.193
0.636 0.920 0.807
0.000 0.000 0.000
0.018 0.307 0.657
0.682 0.513 0.124
0.306 0.796 0.593
0.694 0.204 0.407
0.318 0.487 0.876
0.982 0.693 0.343
```

Properties
**Magnetic moment**: 0.000 μB per atom
**Symmetry**: C2/m
**VASP energy**: -4.590 eV/atom
**Offset from the most stable computed form**: 0.0 meV per atom